No. 1
DFT (PBEsol) results for a relaxed structure of SbTe2WI.

Total DFT energy (no corrections): -3.77 eV/atom
Raw formation energy: 1.67 eV per atom
Distance to the lowest polymorph of the same formula: 1.255 eV/atom

a b c (Å): 5.6820 5.6820 5.5844
angles (deg): 90.00 90.00 90.00
Sites, in units of the cell vectors:
Sb: 0.0000 0.0000 0.0000
Te: 0.0000 0.5000 0.0000
Te: 0.5000 0.0000 0.0000
W: 0.5000 0.5000 0.5000
I: 0.0000 0.0000 0.5000

---

No. 2
DFT (PBEsol) results for a relaxed structure of TeIrS2.

Total DFT energy (no corrections): -5.77 eV/atom
Raw formation energy: -0.24 eV per atom

a b c (Å): 3.5744 3.5744 22.8359
angles (deg): 90.00 90.00 120.00
Sites, in units of the cell vectors:
Te: 0.0000 0.0000 0.0000
Te: 0.3333 0.6667 0.6667
Te: 0.6667 0.3333 0.3333
Ir: 0.0000 0.0000 0.5000
Ir: 0.3333 0.6667 0.1667
Ir: 0.6667 0.3333 0.8333
S: 0.0000 0.0000 0.1167
S: 0.0000 0.0000 0.8833
S: 0.3333 0.6667 0.5499
S: 0.3333 0.6667 0.7834
S: 0.6667 0.3333 0.2166
S: 0.6667 0.3333 0.4501

---

No. 3
DFT (PBEsol) results for a relaxed structure of YMgRu.

Total DFT energy (no corrections): -6.34 eV/atom
Formation energy from the elements: -101 meV/atom

a b c (Å): 3.3544 3.3544 10.7985
angles (deg): 90.00 90.00 90.00
Sites, in units of the cell vectors:
Y: 0.0000 0.0000 0.0000
Y: 0.5000 0.5000 0.5000
Mg: 0.0000 0.0000 0.7257
Mg: 0.5000 0.5000 0.2257
Ru: 0.0000 0.0000 0.3559
Ru: 0.5000 0.5000 0.8559

---

No. 4
DFT (PBEsol) results for a relaxed structure of Ga2BiTe.

Total DFT energy (no corrections): -3.55 eV/atom
Raw formation energy: 0.07 eV per atom

a b c (Å): 7.2650 7.2650 7.2650
angles (deg): 90.00 90.00 90.00
Sites, in units of the cell vectors:
Ga: 0.2500 0.2500 0.2500
Ga: 0.2500 0.2500 0.7500
Ga: 0.2500 0.7500 0.2500
Ga: 0.2500 0.7500 0.7500
Ga: 0.7500 0.2500 0.2500
Ga: 0.7500 0.2500 0.7500
Ga: 0.7500 0.7500 0.2500
Ga: 0.7500 0.7500 0.7500
Bi: 0.0000 0.0000 0.0000
Bi: 0.0000 0.5000 0.5000
Bi: 0.5000 0.0000 0.5000
Bi: 0.5000 0.5000 0.0000
Te: 0.0000 0.0000 0.5000
Te: 0.0000 0.5000 0.0000
Te: 0.5000 0.0000 0.0000
Te: 0.5000 0.5000 0.5000

---

No. 5
DFT (PBEsol) results for a relaxed structure of OsPbSN2.

Total DFT energy (no corrections): -7.13 eV/atom
Raw formation energy: 0.40 eV per atom

a b c (Å): 3.8817 3.8817 5.0641
angles (deg): 90.00 90.00 90.00
Sites, in units of the cell vectors:
Os: 0.0000 0.0000 0.0000
Pb: 0.5000 0.5000 0.5000
S: 0.0000 0.0000 0.5000
N: 0.0000 0.5000 0.0000
N: 0.5000 0.0000 0.0000

---

No. 6
DFT (PBEsol) results for a relaxed structure of BeSeBr2.

Total DFT energy (no corrections): -2.95 eV/atom
Raw formation energy: -0.05 eV per atom
Distance to the lowest polymorph of the same formula: 0.000 eV/atom

a b c (Å): 3.1058 5.9468 10.9940
angles (deg): 90.00 90.00 90.00
Sites, in units of the cell vectors:
Be: 0.0000 0.0000 0.0000
Be: 0.5000 0.5000 0.5000
Se: 0.0000 0.0000 0.5000
Se: 0.5000 0.5000 0.0000
Br: 0.0000 0.5000 0.3539
Br: 0.0000 0.5000 0.6461
Br: 0.5000 0.0000 0.1461
Br: 0.5000 0.0000 0.8539

---

No. 7
DFT (PBEsol) results for a relaxed structure of AlAg3.

Total DFT energy (no corrections): -3.58 eV/atom
Formation energy from the elements: -78 meV/atom

a b c (Å): 2.8666 4.5937 4.9183
angles (deg): 90.00 90.00 90.00
Sites, in units of the cell vectors:
Al: 0.0000 0.0000 0.0000
Ag: 0.0000 0.5000 0.6694
Ag: 0.5000 0.0000 0.4991
Ag: 0.5000 0.5000 0.1599

---

No. 8
DFT (PBEsol) results for a relaxed structure of YZnP2.

Total DFT energy (no corrections): -5.58 eV/atom
Formation energy from the elements: -579 meV/atom

a b c (Å): 3.6648 4.3043 4.3419
angles (deg): 90.00 90.00 90.00
Sites, in units of the cell vectors:
Y: 0.0000 0.0000 0.0000
Zn: 0.0000 0.5000 0.5000
P: 0.5000 0.0000 0.5000
P: 0.5000 0.5000 0.0000